[1]
First-principles (PBE) data for a geometry-optimized CaNbRe2Ag structure, as listed in Alexandria via LeMat-Bulk.

Structure (POSCAR):
```
CaNbRe2Ag
1.0
4.6709 0.0000 0.0000
0.0000 4.6709 0.0000
0.0000 0.0000 4.6719
Ca Nb Re Ag
1 1 2 1
direct
0.0000 0.0000 0.0000
0.5000 0.5000 0.5000
0.0000 0.5000 0.0000
0.5000 0.0000 0.0000
0.0000 0.0000 0.5000
```

Summary:
energy relative to the elements: 2.59 eV/atom
space group: P4/mmm, No. 123
energy: -26.86 eV for the cell shown
mass density: 9.99 g/cm3

[2]
First-principles (PBE) data for a geometry-optimized Ca2NbAgRu structure, as listed in Alexandria via LeMat-Bulk.

Structure (POSCAR):
```
Ca2NbAgRu
1.0
5.4063 0.0000 0.0000
0.0000 5.4063 0.0000
0.0000 0.0000 4.9811
Ca Nb Ag Ru
2 1 1 1
direct
0.0000 0.5000 0.0000
0.5000 0.0000 0.0000
0.0000 0.0000 0.0000
0.0000 0.0000 0.5000
0.5000 0.5000 0.5000
```

Summary:
energy relative to the elements: 1.68 eV/atom
space group: P4/mmm, No. 123
energy: -17.79 eV for the cell shown
mass density: 4.36 g/cm3

[3]
First-principles (PBE) data for a geometry-optimized CaNbAg2W structure, as listed in Alexandria via LeMat-Bulk.

Structure (POSCAR):
```
CaNbAg2W
1.0
5.2610 0.0000 0.0000
0.0000 5.2610 0.0000
0.0000 0.0000 4.6802
Ca Nb Ag W
1 1 2 1
direct
0.0000 0.0000 0.0000
0.5000 0.5000 0.0000
0.0000 0.5000 0.5000
0.5000 0.0000 0.5000
0.5000 0.5000 0.5000
```

Summary:
energy relative to the elements: 0.93 eV/atom
space group: P4/mmm, No. 123
energy: -26.08 eV for the cell shown
mass density: 6.83 g/cm3